[1]
The following is a PBE-GGA calculation of an optimized crystal structure of Pr2Y7Ho4, from Alexandria.

Computed properties:
For the density of states at the Fermi level, the calculation gives 1.45 states/eV/atom. The uncorrected energy is -5.43 eV/atom.

a = 6.108 Å, b = 6.108 Å, c = 13.384 Å
α = 90.00°, β = 90.00°, γ = 120.00°
Positions (direct):
Pr  0.333  0.667  0.000
Pr  0.667  0.333  0.000
Y  0.000  0.000  0.000
Y  0.000  0.353  0.219
Y  0.000  0.647  0.781
Y  0.353  0.000  0.219
Y  0.353  0.353  0.781
Y  0.647  0.000  0.781
Y  0.647  0.647  0.219
Ho  0.000  0.000  0.396
Ho  0.000  0.000  0.604
Ho  0.333  0.667  0.500
Ho  0.667  0.333  0.500


[2]
The following is a PBE-GGA calculation of an optimized crystal structure of Dy2HoScTe6, from Alexandria.

Computed properties:
Its formation energy (no corrections) is -1.3101 eV/atom.

a = 8.193 Å, b = 8.193 Å, c = 8.193 Å
α = 55.16°, β = 55.16°, γ = 55.16°
Positions (direct):
Dy  0.000  0.000  0.000
Dy  0.499  0.499  0.499
Ho  0.184  0.184  0.184
Sc  0.683  0.683  0.683
Te  0.075  0.422  0.781
Te  0.290  0.909  0.587
Te  0.422  0.781  0.075
Te  0.587  0.290  0.909
Te  0.781  0.075  0.422
Te  0.909  0.587  0.290


[3]
The following is a PBE-GGA calculation of an optimized crystal structure of Pm4In16Co3, from Alexandria.

Computed properties:
For the density of states at the Fermi level, the calculation gives 0.27 states/eV/atom. The uncorrected energy is -3.96 eV/atom.

a = 6.600 Å, b = 6.600 Å, c = 12.307 Å
α = 90.00°, β = 90.00°, γ = 90.00°
Positions (direct):
Pm  0.000  0.500  0.196
Pm  0.000  0.500  0.804
Pm  0.500  0.000  0.196
Pm  0.500  0.000  0.804
In  0.000  0.000  0.195
In  0.000  0.000  0.805
In  0.228  0.228  0.000
In  0.228  0.772  0.000
In  0.250  0.250  0.383
In  0.250  0.250  0.617
In  0.250  0.750  0.383
In  0.250  0.750  0.617
In  0.500  0.500  0.210
In  0.500  0.500  0.790
In  0.750  0.250  0.383
In  0.750  0.250  0.617
In  0.750  0.750  0.383
In  0.750  0.750  0.617
In  0.772  0.228  0.000
In  0.772  0.772  0.000
Co  0.000  0.500  0.500
Co  0.500  0.000  0.500
Co  0.500  0.500  0.000